Compound: NaWS3
Source: Alexandria via LeMat-Bulk
Functional: PBE
Structure: relaxed

a b c (Å): 4.7204 4.7204 4.7204
angles (deg): 90.00 90.00 90.00
Space group Pm-3m (No. 221)
Inequivalent atoms, fractional coordinates:
Na: 0.0000 0.0000 0.0000 x1
W: 0.5000 0.5000 0.5000 x1
S: 0.0000 0.0000 0.5000 x3

Properties
VASP energy: -0.1385 hartree per atom
calculated volume: 105.2 Å³/cell
formation energy without anion corrections: 1.563 eV/atom

---

Compound: YIn2Co
Source: Alexandria via LeMat-Bulk
Functional: PBE
Structure: relaxed

a b c (Å): 6.0425 4.5029 6.5696
angles (deg): 90.00 90.00 90.00
Space group Pmma (No. 51)
Inequivalent atoms, fractional coordinates:
Y: 0.2500 0.0000 0.1687 x2
In: 0.0000 0.5000 0.5000 x2
In: 0.2500 0.0000 0.6968 x2
Co: 0.2500 0.5000 0.8885 x2

Properties
VASP energy: -0.1729 hartree per atom
calculated volume: 178.8 Å³/cell

---

Compound: ThTlAgTe3
Source: Alexandria via LeMat-Bulk
Functional: PBE
Structure: relaxed

a b c (Å): 4.4942 15.5989 11.6273
angles (deg): 90.00 90.00 90.00
Space group Cmcm (No. 63)
Inequivalent atoms, fractional coordinates:
Th: 0.0000 0.0000 0.0000 x4
Tl: 0.0000 0.2413 0.2500 x4
Ag: 0.0000 0.4679 0.7500 x4
Te: 0.0000 0.0802 0.7500 x4
Te: 0.0000 0.3633 0.5529 x8

Properties
VASP energy: -0.1634 hartree per atom
calculated volume: 815.1 Å³/cell
formation energy without anion corrections: -0.768 eV/atom

---

Compound: YHoNi
Source: Alexandria via LeMat-Bulk
Functional: PBE
Structure: relaxed

a b c (Å): 3.9294 3.9294 6.0994
angles (deg): 90.00 90.00 120.00
Space group P3m1 (No. 156)
Inequivalent atoms, fractional coordinates:
Y: 0.0000 0.0000 0.0000 x1
Ho: 0.6667 0.3333 0.5195 x1
Ni: 0.3333 0.6667 0.7546 x1

Properties
VASP energy: -0.2120 hartree per atom
calculated volume: 81.6 Å³/cell

---

Q: Among the records above, which one has the highest calculated volume?
A: ThTlAgTe3